# 1
# Pt3Br5

A geometry-optimized Pt3Br5 structure (PBE-GGA, Alexandria via LeMat-Bulk).

Unit cell a=9.924 b=7.618 c=9.346 alpha=95.70 beta=107.11 gamma=125.50
Fractional positions:
Br1 0.669 0.182 0.500
Br2 0.772 0.067 0.176
Br3 0.478 0.472 0.789
Br4 0.937 0.594 0.161
Br5 0.658 0.590 0.294
Br6 0.865 0.796 0.706
Br7 0.095 0.390 0.824
Br8 0.276 0.933 0.839
Br9 0.310 0.728 0.500
Br10 0.190 0.184 0.211
Pt1 0.352 0.346 0.500
Pt2 0.967 0.556 0.692
Pt3 0.177 0.153 0.767
Pt4 0.563 0.760 0.500
Pt5 0.910 0.885 0.233
Pt6 0.775 0.364 0.308

E_form (uncorrected)   5.2 kJ/mol of atoms
Symmetry   Cm
DOS at the Fermi energy   0.157 states/eV/f.u.
Excess energy over the best structure of this formula in the dataset   0 meV per atom

***

# 2
# PmSm2Tm3S6

A geometry-optimized PmSm2Tm3S6 structure (PBE-GGA, Alexandria via LeMat-Bulk).

Unit cell a=3.890 b=7.954 c=8.827 alpha=104.40 beta=102.73 gamma=90.00
Fractional positions:
Sm1 0.167 0.333 0.333
Sm2 0.833 0.667 0.667
Pm1 0.500 0.000 0.000
S1 0.663 0.593 0.326
S2 0.337 0.407 0.674
S3 0.329 0.926 0.658
S4 0.004 0.739 0.007
S5 0.671 0.074 0.342
S6 0.996 0.261 0.993
Tm1 0.500 0.500 0.000
Tm2 0.834 0.167 0.667
Tm3 0.166 0.833 0.333

E_form (uncorrected)   -191.7 kJ/mol of atoms
Symmetry   C2/m
DOS at the Fermi energy   4.722 states/eV/f.u.

***

# 3
# Zr4Cd2N

A geometry-optimized Zr4Cd2N structure (PBE-GGA, Alexandria via LeMat-Bulk).

Unit cell a=4.456 b=4.456 c=8.036 alpha=73.91 beta=73.91 gamma=90.00
Fractional positions:
N1 0.000 0.000 0.000
Zr1 0.000 0.500 0.000
Zr2 0.157 0.157 0.686
Zr3 0.843 0.843 0.314
Zr4 0.500 0.000 0.000
Cd1 0.359 0.359 0.283
Cd2 0.641 0.641 0.717

E_form (uncorrected)   -38.9 kJ/mol of atoms
Symmetry   I4/mmm
DOS at the Fermi energy   5.225 states/eV/f.u.
Excess energy over the best structure of this formula in the dataset   0 meV per atom

***

# 4
# BaInIr

A geometry-optimized BaInIr structure (PBE-GGA, Alexandria via LeMat-Bulk).

Unit cell a=5.009 b=5.009 c=5.009 alpha=60.00 beta=60.00 gamma=60.00
Fractional positions:
Ir1 0.750 0.750 0.750
In1 0.500 0.500 0.500
Ba1 0.000 0.000 0.000

Symmetry   F-43m
DOS at the Fermi energy   0.956 states/eV/f.u.
Formation energy   -0.9 kJ/mol of formula units

***

# 5
# PrEr3Tl

A geometry-optimized PrEr3Tl structure (PBE-GGA, Alexandria via LeMat-Bulk).

Unit cell a=4.872 b=4.826 c=12.951 alpha=90.00 beta=79.16 gamma=90.00
Fractional positions:
Pr1 0.471 0.750 0.706
Pr2 0.177 0.250 0.294
Er1 0.279 0.750 0.091
Er2 0.575 0.250 0.498
Er3 0.073 0.750 0.502
Er4 0.875 0.750 0.899
Er5 0.774 0.250 0.101
Er6 0.370 0.250 0.909
Tl1 0.979 0.250 0.691
Tl2 0.670 0.750 0.309

Symmetry   Cmcm
DOS at the Fermi energy   6.762 states/eV/f.u.
Excess energy over the best structure of this formula in the dataset   0 meV per atom
Formation energy   -51.4 kJ/mol of formula units

***

# 6
# Sr3ReCl

A geometry-optimized Sr3ReCl structure (PBE-GGA, Alexandria via LeMat-Bulk).

Unit cell a=5.794 b=5.794 c=5.794 alpha=90.00 beta=90.00 gamma=90.00
Fractional positions:
Re1 0.000 0.000 0.000
Sr1 0.000 0.000 0.500
Sr2 0.000 0.500 0.000
Sr3 0.500 0.000 0.000
Cl1 0.500 0.500 0.500

E_form (uncorrected)   26.3 kJ/mol of atoms
Symmetry   Pm-3m
DOS at the Fermi energy   0.933 states/eV/f.u.
Excess energy over the best structure of this formula in the dataset   0 meV per atom

***

Number 1: magnetic moment 0.00 μB per cell. Number 2: magnetic moment 0.00 μB per cell. Number 3: magnetic moment 0.00 μB per cell. Number 4: magnetic moment 0.00 μB per cell. Number 5: magnetic moment 0.12 μB per cell. Number 6: magnetic moment 0.00 μB per cell.